# Cs2Tc2C

A geometry-optimized Cs2Tc2C structure (PBE, Alexandria).

Lattice parameters (Å, degrees): 7.1168 7.1168 6.0205 53.77 53.77 90.00
Fractional coordinates of all 5 atoms:
Cs (0.2500, 0.7500, 0.5000)
Cs (0.7500, 0.2500, 0.5000)
Tc (0.2829, 0.2829, 0.4341)
Tc (0.7171, 0.7171, 0.5659)
C (0.0000, 0.0000, 0.0000)

- Distance to the lowest polymorph of the same formula: 0.241 eV/atom
- Fermi-level density of states: 1.032 states/eV per atom
- V: 167.4 Å³/f.u.
- DFT formation energy: 8.20 eV/f.u.